{"formula": "LiCaScTe3", "functional": "PBE", "state": "optimized geometry", "cell": [[8.6476, 0.0000, 0.0000], [0.0000, 4.2562, 0.0000], [-2.3239, 0.0000, 9.2325]], "species": ["Li", "Li", "Ca", "Ca", "Sc", "Sc", "Te", "Te", "Te", "Te", "Te", "Te"], "frac_coords": [[0.0858, 0.2500, 0.0881], [0.9142, 0.7500, 0.9119], [0.1926, 0.2500, 0.7455], [0.8074, 0.7500, 0.2545], [0.3278, 0.7500, 0.3339], [0.6722, 0.2500, 0.6661], [0.1028, 0.2500, 0.3741], [0.2456, 0.7500, 0.0159], [0.4341, 0.7500, 0.6565], [0.5659, 0.2500, 0.3435], [0.7544, 0.2500, 0.9841], [0.8972, 0.7500, 0.6259]], "e_form_raw_ev_per_atom": -1.271, "rho_g_cm3": 4.6, "sg": "P2_1/m", "volume_a3_per_cell": 340}

***

{"formula": "TbThAlGa", "functional": "PBE", "state": "optimized geometry", "cell": [[0.0000, 3.6683, 3.6683], [3.6683, 0.0000, 3.6683], [3.6683, 3.6683, 0.0000]], "species": ["Tb", "Th", "Al", "Ga"], "frac_coords": [[0.0000, 0.0000, 0.0000], [0.5000, 0.5000, 0.5000], [0.2500, 0.2500, 0.2500], [0.7500, 0.7500, 0.7500]], "rho_g_cm3": 8.2, "sg": "F-43m", "formation_energy_ev_per_atom": -0.363, "volume_a3_per_cell": 99}

***

{"formula": "Li2SiRh", "functional": "PBE", "state": "optimized geometry", "cell": [[3.0818, 0.0000, 0.0000], [0.0000, 3.0818, 0.0000], [0.0000, 0.0000, 5.7905]], "species": ["Li", "Li", "Si", "Rh"], "frac_coords": [[0.0000, 0.0000, 0.0000], [0.5000, 0.5000, 0.2676], [0.5000, 0.5000, 0.7286], [0.0000, 0.0000, 0.5348]], "e_form_raw_ev_per_atom": -0.452, "rho_g_cm3": 4.4, "sg": "P4mm", "volume_a3_per_cell": 55}

***

{"formula": "ZrTcIN2", "functional": "PBE", "state": "optimized geometry", "cell": [[3.9994, 0.0000, 0.0000], [0.0000, 3.9994, 0.0000], [0.0000, 0.0000, 5.3477]], "species": ["Zr", "Tc", "I", "N", "N"], "frac_coords": [[0.0000, 0.0000, 0.0000], [0.5000, 0.5000, 0.5000], [0.5000, 0.5000, 0.0000], [0.0000, 0.5000, 0.5000], [0.5000, 0.0000, 0.5000]], "e_form_raw_ev_per_atom": 0.836, "rho_g_cm3": 6.7, "sg": "P4/mmm", "volume_a3_per_cell": 86}

***

{"formula": "KNa2AsPt", "functional": "PBE", "state": "optimized geometry", "cell": [[5.5854, 0.0000, 0.0000], [0.0000, 5.5854, 0.0000], [0.0000, 0.0000, 4.7601]], "species": ["K", "Na", "Na", "As", "Pt"], "frac_coords": [[0.0000, 0.0000, 0.0000], [0.0000, 0.5000, 0.5000], [0.5000, 0.0000, 0.5000], [0.5000, 0.5000, 0.5000], [0.5000, 0.5000, 0.0000]], "rho_g_cm3": 4.0, "sg": "P4/mmm", "formation_energy_ev_per_atom": -0.230, "volume_a3_per_cell": 148}

***

{"formula": "PBr4", "functional": "PBE", "state": "optimized geometry", "cell": [[5.1495, 0.0000, 0.0000], [0.0000, 5.1495, 0.0000], [0.0000, 0.0000, 5.1495]], "species": ["P", "Br", "Br", "Br", "Br"], "frac_coords": [[0.0000, 0.0000, 0.0000], [0.0000, 0.0000, 0.5000], [0.0000, 0.5000, 0.0000], [0.5000, 0.0000, 0.0000], [0.5000, 0.5000, 0.5000]], "e_form_raw_ev_per_atom": 0.207, "rho_g_cm3": 4.3, "sg": "Pm-3m", "volume_a3_per_cell": 137}

***

{"formula": "Pm3Se2Br2", "functional": "PBE", "state": "optimized geometry", "cell": [[4.1814, 0.0000, 0.0000], [0.0043, 7.0138, 0.0000], [2.0861, 1.5042, 6.9190]], "species": ["Pm", "Pm", "Pm", "Se", "Se", "Br", "Br"], "frac_coords": [[0.0000, 0.0000, 0.0000], [0.2604, 0.7546, 0.4800], [0.7396, 0.2454, 0.5200], [0.1269, 0.3778, 0.7453], [0.8731, 0.6222, 0.2547], [0.3890, 0.1723, 0.2211], [0.6110, 0.8277, 0.7789]], "e_form_raw_ev_per_atom": -1.556, "rho_g_cm3": 6.2, "sg": "P-1", "volume_a3_per_cell": 203}

***

{"formula": "BaAg3", "functional": "PBE", "state": "optimized geometry", "cell": [[4.5000, 2.5981, 1.6193], [-4.5000, 2.5981, 1.6193], [0.0000, -5.1961, 1.6193]], "species": ["Ba", "Ag", "Ag", "Ag"], "frac_coords": [[0.0000, 0.0000, 0.0000], [0.0000, 0.5000, 0.5000], [0.5000, 0.0000, 0.5000], [0.5000, 0.5000, 0.0000]], "rho_g_cm3": 6.7, "sg": "R-3m", "formation_energy_ev_per_atom": 0.127, "volume_a3_per_cell": 114}

***

{"formula": "CeMn3P3", "functional": "PBE", "state": "optimized geometry", "cell": [[6.2526, 0.0000, 0.0000], [0.0000, 6.2526, 0.0000], [0.0000, 0.0000, 6.2526]], "species": ["Ce", "Ce", "Mn", "Mn", "Mn", "Mn", "Mn", "Mn", "P", "P", "P", "P", "P", "P"], "frac_coords": [[0.0000, 0.0000, 0.0000], [0.5000, 0.5000, 0.5000], [0.0000, 0.2500, 0.5000], [0.0000, 0.7500, 0.5000], [0.2500, 0.5000, 0.0000], [0.5000, 0.0000, 0.2500], [0.5000, 0.0000, 0.7500], [0.7500, 0.5000, 0.0000], [0.0000, 0.5000, 0.2500], [0.0000, 0.5000, 0.7500], [0.2500, 0.0000, 0.5000], [0.5000, 0.2500, 0.0000], [0.5000, 0.7500, 0.0000], [0.7500, 0.0000, 0.5000]], "rho_g_cm3": 5.4, "sg": "Pm-3n", "formation_energy_ev_per_atom": -0.409, "volume_a3_per_cell": 244}

***

{"formula": "Na2BIN", "functional": "PBE", "state": "optimized geometry", "cell": [[5.2561, 0.0000, 0.0000], [0.0000, 5.2561, 0.0000], [0.0000, 0.0000, 4.7522]], "species": ["Na", "Na", "B", "I", "N"], "frac_coords": [[0.0000, 0.5000, 0.0000], [0.5000, 0.0000, 0.0000], [0.0000, 0.0000, 0.0000], [0.0000, 0.0000, 0.5000], [0.5000, 0.5000, 0.5000]], "e_form_raw_ev_per_atom": 1.311, "rho_g_cm3": 2.5, "sg": "P4/mmm", "volume_a3_per_cell": 131}

***

{"formula": "SrLa2W", "functional": "PBE", "state": "optimized geometry", "cell": [[0.0000, 3.8593, 3.8593], [3.8593, 0.0000, 3.8593], [3.8593, 3.8593, 0.0000]], "species": ["Sr", "La", "La", "W"], "frac_coords": [[0.0000, 0.0000, 0.0000], [0.2500, 0.2500, 0.2500], [0.5000, 0.5000, 0.5000], [0.7500, 0.7500, 0.7500]], "rho_g_cm3": 7.9, "sg": "F-43m", "formation_energy_ev_per_atom": 0.887, "volume_a3_per_cell": 115}

***

{"formula": "CaHf2CrIr", "functional": "PBE", "state": "optimized geometry", "cell": [[4.9051, 0.0000, 0.0000], [0.0000, 4.9051, 0.0000], [0.0000, 0.0000, 4.0040]], "species": ["Ca", "Hf", "Hf", "Cr", "Ir"], "frac_coords": [[0.0000, 0.0000, 0.0000], [0.0000, 0.5000, 0.0000], [0.5000, 0.0000, 0.0000], [0.0000, 0.0000, 0.5000], [0.5000, 0.5000, 0.5000]], "rho_g_cm3": 11.1, "sg": "P4/mmm", "formation_energy_ev_per_atom": 1.967, "volume_a3_per_cell": 96}

***

{"formula": "MnHgRuS", "functional": "PBE", "state": "optimized geometry", "cell": [[3.0140, -1.7474, 0.0000], [3.0140, 1.7474, 0.0000], [-2.0201, 0.0000, 6.3382]], "species": ["Mn", "Hg", "Ru", "S"], "frac_coords": [[0.0000, 0.0000, 0.0000], [0.7736, 0.7736, 0.3200], [0.5525, 0.5525, 0.6566], [0.2740, 0.2740, 0.8222]], "e_form_raw_ev_per_atom": 0.083, "rho_g_cm3": 9.7, "sg": "Cm", "volume_a3_per_cell": 67}

***

{"formula": "Cd4TeRu", "functional": "PBE", "state": "optimized geometry", "cell": [[0.0000, 4.0003, 4.0003], [4.0003, 0.0000, 4.0003], [4.0003, 4.0003, 0.0000]], "species": ["Cd", "Cd", "Cd", "Cd", "Te", "Ru"], "frac_coords": [[0.1242, 0.1242, 0.1242], [0.1242, 0.1242, 0.6274], [0.1242, 0.6274, 0.1242], [0.6274, 0.1242, 0.1242], [0.5000, 0.5000, 0.5000], [0.7500, 0.7500, 0.7500]], "e_form_raw_ev_per_atom": 0.459, "rho_g_cm3": 8.8, "sg": "F-43m", "volume_a3_per_cell": 128}

***

{"formula": "LaErP", "functional": "PBE", "state": "optimized geometry", "cell": [[3.9680, 0.0000, 0.0000], [-1.9840, 3.4364, 0.0000], [0.0000, 0.0000, 6.7155]], "species": ["La", "Er", "P"], "frac_coords": [[0.0000, 0.0000, 0.0000], [0.3333, 0.6667, 0.5145], [0.6667, 0.3333, 0.7370]], "rho_g_cm3": 6.1, "sg": "P3m1", "formation_energy_ev_per_atom": -0.931, "volume_a3_per_cell": 92}